CoRe2Sb: optimized geometry, GGA-PBE.

a b c (Å): 4.832 4.832 4.832
angles (deg): 132.36 132.36 69.66
Positions (direct):
Co1 0.750 0.250 0.500
Re1 0.000 0.000 0.000
Re2 0.500 0.500 0.000
Sb1 0.250 0.750 0.500

Calculated values
The energy relative to the elements, uncorrected is 0.54 eV per atom. The space-group type is I4/mmm, No. 139. The value obtained for the density of states at the Fermi level is 5.46 states/eV per cell.


Co2ReSb: optimized geometry, GGA-PBE.

a b c (Å): 4.485 4.485 4.680
angles (deg): 80.32 80.32 38.51
Site moments in Bohr magnetons follow the coordinates.
Positions (direct):
Co1 0.005 0.005 0.969  0.40
Co2 0.495 0.495 0.531  0.40
Re1 0.750 0.750 0.750  -0.06
Sb1 0.250 0.250 0.250  -0.01

Calculated values
The energy relative to the elements, uncorrected is 0.41 eV per atom. The space-group type is C2/m, No. 12. The value obtained for the density of states at the Fermi level is 5.09 states/eV per cell.


Co6ReSb: optimized geometry, GGA-PBE.

a b c (Å): 6.291 6.291 10.294
angles (deg): 90.00 90.00 109.42
Site moments in Bohr magnetons follow the coordinates.
Positions (direct):
Co1 0.244 0.756 0.491  0.20
Co2 0.881 0.637 0.619  0.10
Co3 0.119 0.363 0.619  0.10
Co4 0.756 0.244 0.491  0.20
Co5 0.363 0.119 0.619  0.10
Co6 0.637 0.881 0.619  0.10
Co7 0.500 0.500 0.250  0.34
Co8 0.114 0.371 0.370  0.32
Co9 0.371 0.114 0.370  0.32
Co10 0.244 0.756 0.009  0.20
Co11 0.886 0.629 0.130  0.32
Co12 0.114 0.371 0.130  0.32
Co13 0.756 0.244 0.009  0.20
Co14 0.371 0.114 0.130  0.32
Co15 0.629 0.886 0.130  0.32
Co16 0.500 0.500 0.750  0.05
Co17 0.119 0.363 0.881  0.10
Co18 0.363 0.119 0.881  0.10
Co19 0.000 0.000 0.250  0.43
Co20 0.629 0.886 0.370  0.32
Co21 0.886 0.629 0.370  0.32
Co22 0.000 0.000 0.750  0.11
Co23 0.637 0.881 0.881  0.10
Co24 0.881 0.637 0.881  0.10
Re1 0.248 0.752 0.250  -0.13
Re2 0.752 0.248 0.250  -0.13
Re3 0.000 0.000 0.501  -0.09
Re4 0.000 0.000 0.999  -0.09
Sb1 0.252 0.748 0.750  -0.01
Sb2 0.748 0.252 0.750  -0.01
Sb3 0.500 0.500 0.498  -0.02
Sb4 0.500 0.500 0.002  -0.02

Calculated values
The energy relative to the elements, uncorrected is 0.04 eV per atom. The space-group type is Cmmm, No. 65. The value obtained for the density of states at the Fermi level is 29.92 states/eV per cell.


Co2ReSb: optimized geometry, GGA-PBE.

a b c (Å): 4.238 2.814 4.677
angles (deg): 89.98 90.00 90.00
Site moments in Bohr magnetons follow the coordinates.
Positions (direct):
Co1 0.000 0.125 0.969  0.34
Co2 0.500 0.125 0.284  -0.23
Re1 0.000 0.625 0.433  0.02
Sb1 0.500 0.625 0.814  0.00

Calculated values
The energy relative to the elements, uncorrected is 0.28 eV per atom. The space-group type is Pmm2, No. 25. The value obtained for the density of states at the Fermi level is 3.68 states/eV per cell.


CoReSb: optimized geometry, GGA-PBE.

a b c (Å): 4.163 4.163 4.163
angles (deg): 60.00 60.00 60.00
Site moments in Bohr magnetons follow the coordinates.
Positions (direct):
Co1 0.750 0.750 0.750  1.05
Re1 0.000 0.000 0.000  1.11
Sb1 0.500 0.500 0.500  -0.03

Calculated values
The energy relative to the elements, uncorrected is 0.48 eV per atom. The value obtained for the energy relative to the lowest polymorph listed for this composition is 0.000 eV/atom. The space-group type is F-43m, No. 216. The value obtained for the density of states at the Fermi level is 2.99 states/eV per cell.


CoRe2Sb: optimized geometry, GGA-PBE.

a b c (Å): 4.784 4.784 4.625
angles (deg): 80.76 80.76 36.63
Site moments in Bohr magnetons follow the coordinates.
Positions (direct):
Co1 0.250 0.250 0.250  0.61
Re1 0.983 0.983 0.035  0.03
Re2 0.517 0.517 0.465  0.03
Sb1 0.750 0.750 0.750  0.00

Calculated values
The energy relative to the elements, uncorrected is 0.42 eV per atom. The space-group type is C2/m, No. 12. The value obtained for the density of states at the Fermi level is 4.63 states/eV per cell.


CoReSbSe2: optimized geometry, GGA-PBE.

a b c (Å): 5.423 4.680 5.423
angles (deg): 90.00 90.00 90.00
Site moments in Bohr magnetons follow the coordinates.
Positions (direct):
Re1 0.500 0.500 0.500  4.02
Co1 0.000 0.500 0.000  1.75
Se1 0.000 0.000 0.500  0.06
Se2 0.500 0.000 0.000  0.10
Sb1 0.000 0.000 0.000  -0.01

Calculated values
The energy relative to the elements, uncorrected is 1.75 eV per atom. The space-group type is P4/mmm, No. 123. The value obtained for the density of states at the Fermi level is 1.33 states/eV per cell.


Co2ReTcSb: optimized geometry, GGA-PBE.

a b c (Å): 4.500 4.910 4.500
angles (deg): 90.00 90.00 90.00
Site moments in Bohr magnetons follow the coordinates.
Positions (direct):
Re1 0.000 0.500 0.000  -0.43
Co1 0.000 0.000 0.500  1.35
Co2 0.500 0.000 0.000  1.29
Tc1 0.500 0.500 0.500  2.97
Sb1 0.000 0.000 0.000  -0.01

Calculated values
The energy relative to the elements, uncorrected is 1.98 eV per atom. The space-group type is P4/mmm, No. 123. The value obtained for the density of states at the Fermi level is 4.28 states/eV per cell.


CoReSbTe2: optimized geometry, GGA-PBE.

a b c (Å): 4.936 4.936 4.747
angles (deg): 90.00 90.00 90.00
Site moments in Bohr magnetons follow the coordinates.
Positions (direct):
Re1 0.500 0.500 0.500  2.14
Te1 0.000 0.500 0.000  -0.09
Te2 0.500 0.000 0.000  -0.09
Co1 0.000 0.000 0.000  -0.19
Sb1 0.000 0.000 0.500  -0.08

Calculated values
The energy relative to the elements, uncorrected is 1.19 eV per atom. The value obtained for the energy relative to the lowest polymorph listed for this composition is 0.000 eV/atom. The space-group type is P4/mmm, No. 123. The value obtained for the density of states at the Fermi level is 4.88 states/eV per cell.


CoReSb2Te: optimized geometry, GGA-PBE.

a b c (Å): 4.789 4.789 5.016
angles (deg): 90.00 90.00 90.00
Site moments in Bohr magnetons follow the coordinates.
Positions (direct):
Re1 0.500 0.500 0.500  2.27
Te1 0.000 0.000 0.500  -0.07
Co1 0.000 0.000 0.000  -0.25
Sb1 0.000 0.500 0.000  -0.06
Sb2 0.500 0.000 0.000  -0.06

Calculated values
The energy relative to the elements, uncorrected is 1.16 eV per atom. The value obtained for the energy relative to the lowest polymorph listed for this composition is 0.000 eV/atom. The space-group type is P4/mmm, No. 123. The value obtained for the density of states at the Fermi level is 4.70 states/eV per cell.


CoReSb2Te: optimized geometry, GGA-PBE.

a b c (Å): 5.123 5.123 5.364
angles (deg): 90.00 90.00 90.00
Site moments in Bohr magnetons follow the coordinates.
Positions (direct):
Re1 0.000 0.000 0.000  -0.38
Te1 0.000 0.000 0.500  -0.07
Co1 0.500 0.500 0.500  2.08
Sb1 0.000 0.500 0.000  -0.02
Sb2 0.500 0.000 0.000  -0.02

Calculated values
The energy relative to the elements, uncorrected is 1.21 eV per atom. The value obtained for the energy relative to the lowest polymorph listed for this composition is 0.059 eV/atom. The space-group type is P4/mmm, No. 123. The value obtained for the density of states at the Fermi level is 7.18 states/eV per cell.


CoReSbTe2: optimized geometry, GGA-PBE.

a b c (Å): 5.213 5.213 5.124
angles (deg): 90.00 90.00 90.00
Site moments in Bohr magnetons follow the coordinates.
Positions (direct):
Re1 0.000 0.000 0.000  -0.16
Te1 0.000 0.500 0.000  -0.01
Te2 0.500 0.000 0.000  -0.01
Co1 0.500 0.500 0.500  0.13
Sb1 0.000 0.000 0.500  0.00

Calculated values
The energy relative to the elements, uncorrected is 1.36 eV per atom. The value obtained for the energy relative to the lowest polymorph listed for this composition is 0.164 eV/atom. The space-group type is P4/mmm, No. 123. The value obtained for the density of states at the Fermi level is 8.77 states/eV per cell.


Among the records above, which one has the highest density of states at the Fermi level? Co6ReSb


Which value of energy relative to the elements, uncorrected does entry 8 give? 1.98 eV per atom